(1)
Density functional theory data (GGA-PBE) for crystalline ScSbSe at its relaxed geometry.

Results
The density of states at the Fermi level is 5.44 states/eV per cell. Its uncorrected formation energy is -1.043 eV/atom.

Cell lengths 3.734, 15.911, 5.280 Å; angles 90.00, 90.00, 90.00 degrees
Element x y z (fractional)
Se 0.000 0.685 0.750
Se 0.500 0.185 0.750
Se 0.000 0.315 0.250
Se 0.500 0.815 0.250
Sc 0.500 0.806 0.750
Sc 0.000 0.306 0.750
Sc 0.500 0.194 0.250
Sc 0.000 0.694 0.250
Sb 0.500 0.458 0.750
Sb 0.500 0.542 0.250
Sb 0.000 0.042 0.250
Sb 0.000 0.958 0.750

(2)
Density functional theory data (GGA-PBE) for crystalline DyPuPd at its relaxed geometry.

Results
For the energy above the most stable polymorph in this dataset, the calculation gives 0.0 kJ/mol of atoms. The density of states at the Fermi level is 9.11 states/eV per cell.

Cell lengths 3.530, 3.530, 6.479 Å; angles 105.81, 105.81, 90.00 degrees
Element x y z (fractional)
Pu 0.313 0.313 0.626
Pd 0.659 0.659 0.318
Dy 0.028 0.028 0.056

(3)
Density functional theory data (GGA-PBE) for crystalline AgGe3Br at its relaxed geometry.

Results
For the energy above the most stable polymorph in this dataset, the calculation gives 0.0 kJ/mol of atoms. The density of states at the Fermi level is 4.96 states/eV per cell. Its uncorrected formation energy is 0.639 eV/atom.

Cell lengths 5.105, 5.105, 5.105 Å; angles 90.00, 90.00, 90.00 degrees
Element x y z (fractional)
Ag 0.000 0.000 0.000
Ge 0.500 0.000 0.000
Ge 0.000 0.000 0.500
Ge 0.000 0.500 0.000
Br 0.500 0.500 0.500

(4)
Density functional theory data (GGA-PBE) for crystalline PbBrN2 at its relaxed geometry.

Results
For the energy above the most stable polymorph in this dataset, the calculation gives 208.6 kJ/mol of atoms. The density of states at the Fermi level is 3.65 states/eV per cell. Its uncorrected formation energy is 2.067 eV/atom.

Cell lengths 4.434, 4.434, 4.434 Å; angles 60.00, 60.00, 60.00 degrees
Element x y z (fractional)
Br 0.000 0.000 0.000
N 0.250 0.250 0.250
N 0.750 0.750 0.750
Pb 0.500 0.500 0.500

(5)
Density functional theory data (GGA-PBE) for crystalline Nd2TiZn at its relaxed geometry.

Results
For the energy above the most stable polymorph in this dataset, the calculation gives 0.0 kJ/mol of atoms. The density of states at the Fermi level is 4.34 states/eV per cell.

Cell lengths 3.465, 3.465, 8.450 Å; angles 90.00, 90.00, 90.00 degrees
Element x y z (fractional)
Nd 0.000 0.000 0.242
Nd 0.000 0.000 0.758
Ti 0.500 0.500 0.500
Zn 0.500 0.500 0.000

(6)
Density functional theory data (GGA-PBE) for crystalline CoTe2P at its relaxed geometry.

Results
The density of states at the Fermi level is 3.37 states/eV per cell. Its uncorrected formation energy is 0.384 eV/atom.

Cell lengths 4.817, 4.819, 4.820 Å; angles 68.85, 73.82, 111.13 degrees
Element x y z (fractional)
P 0.500 0.500 0.000
Co 0.000 0.500 0.500
Te 0.500 0.000 0.500
Te 0.000 0.000 0.000

(7)
Density functional theory data (GGA-PBE) for crystalline Tb5TlTe8 at its relaxed geometry.

Results
Its uncorrected formation energy is -1.201 eV/atom.

Cell lengths 9.216, 9.216, 9.216 Å; angles 60.00, 60.00, 60.00 degrees
Element x y z (fractional)
Tb 0.621 0.621 0.138
Tb 0.621 0.138 0.621
Tb 0.138 0.621 0.621
Tb 0.621 0.621 0.621
Tb 0.000 0.000 0.000
Te 0.399 0.867 0.867
Te 0.867 0.867 0.867
Te 0.867 0.867 0.399
Te 0.867 0.399 0.867
Te 0.388 0.388 0.836
Te 0.388 0.836 0.388
Te 0.836 0.388 0.388
Te 0.388 0.388 0.388
Tl 0.250 0.250 0.250